Material: UVGaO6
Method: DFT, GGA+U
State: relaxed

The structure belongs to space group P-31c (No. 163); the cell edges are 5.2337, 5.2337 and 9.0047 Å and the angles 90.00°, 90.00° and 120.00°. Symmetry generates all atoms from U at (0.3333, 0.6667, 0.2500), V at (0.0000, 0.0000, 0.0000), Ga at (0.3333, 0.6667, 0.7500) and O at (0.0110, 0.3364, 0.6291).

The raw total energy comes out at -145.023 eV/cell.